No. 1
CaTa2Re | PBE | optimized geometry

Values from the calculation:
**Excess energy over the best structure of this formula in the dataset**: 301 meV/atom
**N(E_F)**: 1.457 states/eV/atom
**Formation energy from the elements**: 0.6580 eV per atom
**Total moment**: 0.00 μB per cell

Structure (CIF):
```
data_CaTa2Re
_chemical_formula_sum 'Ca4 Ta8 Re4'
_cell_length_a 6.7025
_cell_length_b 6.7025
_cell_length_c 6.7025
_cell_angle_alpha 90.00
_cell_angle_beta 90.00
_cell_angle_gamma 90.00
_symmetry_space_group_name_H-M 'F -4 3 m'
_symmetry_Int_Tables_number 216
_symmetry_space_group_name_Hall 'F -4 2 3'
loop_
_atom_site_label
_atom_site_type_symbol
_atom_site_fract_x
_atom_site_fract_y
_atom_site_fract_z
Ca1 Ca 0.0000 0.0000 0.0000
Ta1 Ta 0.0000 0.0000 0.5000
Ta2 Ta 0.2500 0.2500 0.7500
Re1 Re 0.2500 0.2500 0.2500
```

---

No. 2
Sm3Er4Ga4 | PBE | optimized geometry

Values from the calculation:
**N(E_F)**: 0.886 states/eV/atom
**Formation energy from the elements**: -0.3774 eV per atom
**Total moment**: 0.00 μB per cell

Structure (CIF):
```
data_Sm3Er4Ga4
_chemical_formula_sum 'Sm6 Er8 Ga8'
_cell_length_a 4.9498
_cell_length_b 7.0937
_cell_length_c 16.4713
_cell_angle_alpha 90.00
_cell_angle_beta 90.00
_cell_angle_gamma 90.00
_symmetry_space_group_name_H-M 'I m m m'
_symmetry_Int_Tables_number 71
_symmetry_space_group_name_Hall '-I 2 2'
loop_
_atom_site_label
_atom_site_type_symbol
_atom_site_fract_x
_atom_site_fract_y
_atom_site_fract_z
Sm1 Sm 0.0000 0.0000 0.0000
Sm2 Sm 0.0000 0.5000 0.1032
Er1 Er 0.0000 0.2748 0.3236
Ga1 Ga 0.0000 0.0000 0.1852
Ga2 Ga 0.0000 0.1906 0.5000
```

---

No. 3
MgZr2Te | PBE | optimized geometry

Values from the calculation:
**Excess energy over the best structure of this formula in the dataset**: 86 meV/atom
**N(E_F)**: 0.820 states/eV/atom
**Total moment**: 0.00 μB per cell

Structure (CIF):
```
data_MgZr2Te
_chemical_formula_sum 'Mg2 Zr4 Te2'
_cell_length_a 4.2690
_cell_length_b 4.2690
_cell_length_c 9.7617
_cell_angle_alpha 90.00
_cell_angle_beta 90.00
_cell_angle_gamma 90.00
_symmetry_space_group_name_H-M 'I -4 m 2'
_symmetry_Int_Tables_number 119
_symmetry_space_group_name_Hall 'I -4 -2'
loop_
_atom_site_label
_atom_site_type_symbol
_atom_site_fract_x
_atom_site_fract_y
_atom_site_fract_z
Mg1 Mg 0.0000 0.0000 0.0000
Zr1 Zr 0.0000 0.0000 0.5000
Zr2 Zr 0.0000 0.5000 0.2500
Te1 Te 0.0000 0.5000 0.7500
```

---

No. 4
NaScSn2 | PBE | optimized geometry

Values from the calculation:
**N(E_F)**: 0.407 states/eV/atom
**Formation energy from the elements**: -0.3396 eV per atom
**Total moment**: 0.00 μB per cell

Structure (CIF):
```
data_NaScSn2
_chemical_formula_sum 'Na1 Sc1 Sn2'
_cell_length_a 4.6637
_cell_length_b 4.6637
_cell_length_c 4.3648
_cell_angle_alpha 90.00
_cell_angle_beta 90.00
_cell_angle_gamma 90.00
_symmetry_space_group_name_H-M 'P 4/m m m'
_symmetry_Int_Tables_number 123
_symmetry_space_group_name_Hall '-P 4 2'
loop_
_atom_site_label
_atom_site_type_symbol
_atom_site_fract_x
_atom_site_fract_y
_atom_site_fract_z
Na1 Na 0.0000 0.0000 0.0000
Sc1 Sc 0.5000 0.5000 0.0000
Sn1 Sn 0.0000 0.5000 0.5000
```

---

No. 5
NaZrAgAu | PBE | optimized geometry

Values from the calculation:
**N(E_F)**: 0.764 states/eV/atom
**Formation energy from the elements**: -0.0825 eV per atom
**Total moment**: 0.00 μB per cell

Structure (CIF):
```
data_NaZrAgAu
_chemical_formula_sum 'Na4 Zr4 Ag4 Au4'
_cell_length_a 6.8436
_cell_length_b 6.8436
_cell_length_c 6.8436
_cell_angle_alpha 90.00
_cell_angle_beta 90.00
_cell_angle_gamma 90.00
_symmetry_space_group_name_H-M 'F -4 3 m'
_symmetry_Int_Tables_number 216
_symmetry_space_group_name_Hall 'F -4 2 3'
loop_
_atom_site_label
_atom_site_type_symbol
_atom_site_fract_x
_atom_site_fract_y
_atom_site_fract_z
Na1 Na 0.0000 0.0000 0.0000
Zr1 Zr 0.0000 0.0000 0.5000
Ag1 Ag 0.2500 0.2500 0.2500
Au1 Au 0.2500 0.2500 0.7500
```

---

No. 6
NaTaPO2 | PBE | optimized geometry

Values from the calculation:
**Excess energy over the best structure of this formula in the dataset**: 0 meV/atom
**N(E_F)**: 0.407 states/eV/atom
**Total moment**: 0.87 μB per cell

Structure (CIF):
```
data_NaTaPO2
_chemical_formula_sum 'Na1 Ta1 P1 O2'
_cell_length_a 3.9647
_cell_length_b 3.9647
_cell_length_c 5.1772
_cell_angle_alpha 90.00
_cell_angle_beta 90.00
_cell_angle_gamma 90.00
_symmetry_space_group_name_H-M 'P 4/m m m'
_symmetry_Int_Tables_number 123
_symmetry_space_group_name_Hall '-P 4 2'
loop_
_atom_site_label
_atom_site_type_symbol
_atom_site_fract_x
_atom_site_fract_y
_atom_site_fract_z
Na1 Na 0.0000 0.0000 0.0000
Ta1 Ta 0.5000 0.5000 0.5000
P1 P 0.5000 0.5000 0.0000
O1 O 0.0000 0.5000 0.5000
```

---

No. 7
Pm2NiI | PBE | optimized geometry

Values from the calculation:
**Excess energy over the best structure of this formula in the dataset**: 221 meV/atom
**N(E_F)**: 0.833 states/eV/atom
**Total moment**: 0.00 μB per cell

Structure (CIF):
```
data_Pm2NiI
_chemical_formula_sum 'Pm2 Ni1 I1'
_cell_length_a 3.5637
_cell_length_b 3.5637
_cell_length_c 8.3303
_cell_angle_alpha 90.00
_cell_angle_beta 90.00
_cell_angle_gamma 90.00
_symmetry_space_group_name_H-M 'P 4/m m m'
_symmetry_Int_Tables_number 123
_symmetry_space_group_name_Hall '-P 4 2'
loop_
_atom_site_label
_atom_site_type_symbol
_atom_site_fract_x
_atom_site_fract_y
_atom_site_fract_z
Pm1 Pm 0.0000 0.0000 0.2027
Ni1 Ni 0.5000 0.5000 0.0000
I1 I 0.5000 0.5000 0.5000
```

---

No. 8
Ca3La2Pr8 | PBE | optimized geometry

Values from the calculation:
**N(E_F)**: 1.402 states/eV/atom
**Formation energy from the elements**: 0.2336 eV per atom
**Total moment**: 0.00 μB per cell

Structure (CIF):
```
data_Ca3La2Pr8
_chemical_formula_sum 'Ca6 La4 Pr16'
_cell_length_a 15.3590
_cell_length_b 9.6503
_cell_length_c 7.1613
_cell_angle_alpha 90.00
_cell_angle_beta 109.26
_cell_angle_gamma 90.00
_symmetry_space_group_name_H-M 'C 1 2/m 1'
_symmetry_Int_Tables_number 12
_symmetry_space_group_name_Hall '-C 2y'
loop_
_atom_site_label
_atom_site_type_symbol
_atom_site_fract_x
_atom_site_fract_y
_atom_site_fract_z
Ca1 Ca 0.0000 0.0000 0.0000
Ca2 Ca 0.0000 0.1790 0.5000
La1 La 0.1959 0.0000 0.8730
Pr1 Pr 0.0730 0.5000 0.7323
Pr2 Pr 0.1236 0.3123 0.1736
Pr3 Pr 0.2374 0.0000 0.4075
```

---

No. 9
Sm12YEr6 | PBE | optimized geometry

Values from the calculation:
**Excess energy over the best structure of this formula in the dataset**: 0 meV/atom
**N(E_F)**: 1.748 states/eV/atom
**Formation energy from the elements**: 0.1432 eV per atom
**Total moment**: 0.00 μB per cell

Structure (CIF):
```
data_Sm12YEr6
_chemical_formula_sum 'Sm36 Y3 Er18'
_cell_length_a 12.0383
_cell_length_b 12.0383
_cell_length_c 15.1989
_cell_angle_alpha 90.00
_cell_angle_beta 90.00
_cell_angle_gamma 120.00
_symmetry_space_group_name_H-M 'R -3'
_symmetry_Int_Tables_number 148
_symmetry_space_group_name_Hall '-R 3'
loop_
_atom_site_label
_atom_site_type_symbol
_atom_site_fract_x
_atom_site_fract_y
_atom_site_fract_z
Sm1 Sm 0.0054 0.8296 0.1914
Sm2 Sm 0.0453 0.8496 0.4164
Y1 Y 0.0000 0.0000 0.0000
Er1 Er 0.0138 0.4262 0.6858
```

---

No. 10
Y5PPb3 | PBE | optimized geometry

Values from the calculation:
**N(E_F)**: 0.421 states/eV/atom
**Formation energy from the elements**: -0.8586 eV per atom
**Total moment**: 0.00 μB per cell

Structure (CIF):
```
data_Y5PPb3
_chemical_formula_sum 'Y10 P2 Pb6'
_cell_length_a 9.1553
_cell_length_b 9.1553
_cell_length_c 6.8372
_cell_angle_alpha 90.00
_cell_angle_beta 90.00
_cell_angle_gamma 120.00
_symmetry_space_group_name_H-M 'P 63/m c m'
_symmetry_Int_Tables_number 193
_symmetry_space_group_name_Hall '-P 6c 2'
loop_
_atom_site_label
_atom_site_type_symbol
_atom_site_fract_x
_atom_site_fract_y
_atom_site_fract_z
Y1 Y 0.0000 0.2369 0.2500
Y2 Y 0.3333 0.6667 0.0000
P1 P 0.0000 0.0000 0.0000
Pb1 Pb 0.0000 0.4011 0.7500
```

---

No. 11
Ho2MgZn3 | PBE | optimized geometry

Values from the calculation:
**Excess energy over the best structure of this formula in the dataset**: 0 meV/atom
**N(E_F)**: 0.662 states/eV/atom
**Formation energy from the elements**: -0.3242 eV per atom
**Total moment**: 0.00 μB per cell

Structure (CIF):
```
data_Ho2MgZn3
_chemical_formula_sum 'Ho4 Mg2 Zn6'
_cell_length_a 4.8686
_cell_length_b 4.8686
_cell_length_c 12.1396
_cell_angle_alpha 90.00
_cell_angle_beta 90.00
_cell_angle_gamma 120.00
_symmetry_space_group_name_H-M 'P -3 m 1'
_symmetry_Int_Tables_number 164
_symmetry_space_group_name_Hall '-P 3 2"'
loop_
_atom_site_label
_atom_site_type_symbol
_atom_site_fract_x
_atom_site_fract_y
_atom_site_fract_z
Ho1 Ho 0.0000 0.0000 0.0000
Ho2 Ho 0.0000 0.0000 0.5000
Ho3 Ho 0.3333 0.6667 0.1781
Mg1 Mg 0.3333 0.6667 0.6624
Zn1 Zn 0.0000 0.0000 0.2556
Zn2 Zn 0.3333 0.6667 0.4197
Zn3 Zn 0.3333 0.6667 0.9145
```

---

No. 12
Li2TaCo | PBE | optimized geometry

Values from the calculation:
**Excess energy over the best structure of this formula in the dataset**: 42 meV/atom
**N(E_F)**: 0.906 states/eV/atom
**Formation energy from the elements**: 0.2072 eV per atom
**Total moment**: 2.23 μB per cell

Structure (CIF):
```
data_Li2TaCo
_chemical_formula_sum 'Li4 Ta2 Co2'
_cell_length_a 3.1676
_cell_length_b 4.4411
_cell_length_c 9.0190
_cell_angle_alpha 90.00
_cell_angle_beta 90.00
_cell_angle_gamma 90.00
_symmetry_space_group_name_H-M 'C m m 2'
_symmetry_Int_Tables_number 35
_symmetry_space_group_name_Hall 'C 2 -2'
loop_
_atom_site_label
_atom_site_type_symbol
_atom_site_fract_x
_atom_site_fract_y
_atom_site_fract_z
Li1 Li 0.0000 0.0000 0.0000
Li2 Li 0.0000 0.5000 0.2827
Ta1 Ta 0.0000 0.0000 0.5633
Co1 Co 0.0000 0.5000 0.7799
```